The following is a GGA-PBE calculation of a geometry-optimized Sm8Bi4SbTe3 structure, from Alexandria.

a = 9.008 Å, b = 9.008 Å, c = 9.008 Å
α = 60.12°, β = 60.12°, γ = 60.12°
Fractional coordinates of all 16 atoms:
Sm 0.246 0.753 0.753
Sm 0.247 0.247 0.754
Sm 0.247 0.754 0.247
Sm 0.249 0.249 0.249
Sm 0.751 0.751 0.751
Sm 0.753 0.246 0.753
Sm 0.753 0.753 0.246
Sm 0.754 0.247 0.247
Bi 0.000 0.000 0.500
Bi 0.000 0.500 0.000
Bi 0.500 0.000 0.000
Bi 0.500 0.500 0.500
Sb 0.000 0.000 0.000
Te 0.000 0.500 0.500
Te 0.500 0.000 0.500
Te 0.500 0.500 0.000

The calculation puts the formation energy from raw total energies at -1.154 eV/atom. The density of states at the Fermi level comes out at 6.59 states/eV per cell.